Here is LaEr7Tm12 after structural relaxation from the Alexandria database. Energies are from PBE-GGA.

Values from the calculation:
mass density = 8.7 g/cm³
total magnetization = 0.000 Bohr magnetons per cell
DOS(E_F) = 33.654 states/eV/f.u.
energy of formation = 242 meV/atom
crystal system = trigonal

Lattice parameters (Å, degrees): 8.611 8.611 8.611 87.52 87.52 87.52
Fractional positions:
1 La 0.000 0.000 0.000
2 Er 0.001 0.876 0.370
3 Er 0.124 0.630 0.999
4 Er 0.370 0.001 0.876
5 Er 0.500 0.500 0.500
6 Er 0.630 0.999 0.124
7 Er 0.876 0.370 0.001
8 Er 0.999 0.124 0.630
9 Tm 0.108 0.436 0.346
10 Tm 0.235 0.764 0.644
11 Tm 0.236 0.356 0.765
12 Tm 0.346 0.108 0.436
13 Tm 0.356 0.765 0.236
14 Tm 0.436 0.346 0.108
15 Tm 0.564 0.654 0.892
16 Tm 0.644 0.235 0.764
17 Tm 0.654 0.892 0.564
18 Tm 0.764 0.644 0.235
19 Tm 0.765 0.236 0.356
20 Tm 0.892 0.564 0.654